Compound: ZrCuAg2
Source: the Alexandria database
Functional: PBE
Structure: relaxed

Values from the calculation:
Formation energy from the elements   0.092 eV per atom
Space-group type   No. 160
Polymorph energy (0 for the lowest one)   100.2 meV/atom
E_tot   -18.0 eV/f.u.
Total magnetization   0.0 μB per formula unit

Geometry as CIF:
```
data_ZrCuAg2
_chemical_formula_sum 'Zr1 Cu1 Ag2'
_cell_length_a 9.415
_cell_length_b 9.415
_cell_length_c 9.415
_cell_angle_alpha 18.33
_cell_angle_beta 18.33
_cell_angle_gamma 18.33
_symmetry_space_group_name_H-M 'P 1'
_symmetry_Int_Tables_number 1
_symmetry_space_group_name_Hall 'P 1'
loop_
_atom_site_label
_atom_site_type_symbol
_atom_site_fract_x
_atom_site_fract_y
_atom_site_fract_z
_atom_site_occupancy
Zr1 Zr 0.000 0.000 0.000 1
Cu1 Cu 0.253 0.253 0.253 1
Ag1 Ag 0.510 0.510 0.510 1
Ag2 Ag 0.758 0.758 0.758 1
```